[1]
The following is a PBE-GGA calculation of crystalline TaSb4Ir at its relaxed geometry, from Alexandria.

- Uncorrected formation energy: 1.236 eV/atom
- Space-group type: F-43m, No. 216
- Size of the total moment: 0.00 μB per atom

The structure in POSCAR format:
```
TaSb4Ir
1.0
0.000 4.154 4.154
4.154 0.000 4.154
4.154 4.154 0.000
Ta Sb Ir
1 4 1
Cartesian
0.000 0.000 0.000
3.116 3.116 3.116
5.191 5.191 3.116
5.191 3.116 5.191
3.116 5.191 5.191
6.231 6.231 6.231
```


[2]
The following is a PBE-GGA calculation of crystalline Ta3SbIr at its relaxed geometry, from Alexandria.

- Uncorrected formation energy: 0.894 eV/atom
- Space-group type: Pm-3m, No. 221
- Size of the total moment: 0.00 μB per atom

The structure in POSCAR format:
```
Ta3SbIr
1.0
4.889 0.000 0.000
0.000 4.889 0.000
0.000 0.000 4.889
Ta Sb Ir
3 1 1
Cartesian
0.000 0.000 2.445
0.000 2.445 0.000
2.445 0.000 0.000
2.445 2.445 2.445
0.000 0.000 0.000
```


[3]
The following is a PBE-GGA calculation of crystalline TaSb2Ir at its relaxed geometry, from Alexandria.

- Uncorrected formation energy: 0.284 eV/atom
- Space-group type: I-4m2, No. 119
- Size of the total moment: 0.00 μB per atom

The structure in POSCAR format:
```
TaSb2Ir
1.0
-2.062 2.062 4.553
2.062 -2.062 4.553
2.062 2.062 -4.553
Ta Sb Ir
1 2 1
Cartesian
0.000 0.000 0.000
0.000 0.000 4.553
0.000 2.062 2.276
2.062 0.000 2.276
```


[4]
The following is a PBE-GGA calculation of crystalline TaSb2Ir at its relaxed geometry, from Alexandria.

- Uncorrected formation energy: 0.364 eV/atom
- Space-group type: Immm, No. 71
- Size of the total moment: 0.00 μB per atom

The structure in POSCAR format:
```
TaSb2Ir
1.0
-1.863 2.483 4.292
1.863 -2.483 4.292
1.863 2.483 -4.292
Ta Sb Ir
1 2 1
Cartesian
0.000 0.000 0.000
1.863 0.000 2.363
0.000 2.483 1.929
0.000 0.000 4.292
```


[5]
The following is a PBE-GGA calculation of crystalline TaSb2Ir at its relaxed geometry, from Alexandria.

- Uncorrected formation energy: 0.083 eV/atom
- Space-group type: R3m, No. 160
- Size of the total moment: 0.00 μB per atom

The structure in POSCAR format:
```
TaSb2Ir
1.0
1.576 0.910 10.576
-1.576 0.910 10.576
0.000 -1.820 10.576
Ta Sb Ir
1 2 1
Cartesian
0.000 0.000 0.000
0.000 0.000 8.220
0.000 0.000 14.749
0.000 0.000 23.165
```


[6]
The following is a PBE-GGA calculation of crystalline TaSb2Ir at its relaxed geometry, from Alexandria.

- Uncorrected formation energy: 0.127 eV/atom
- Space-group type: Imm2, No. 44
- Size of the total moment: 0.00 μB per atom

The structure in POSCAR format:
```
TaSb2Ir
1.0
-1.805 1.970 5.693
1.805 -1.970 5.693
1.805 1.970 -5.693
Ta Sb Ir
1 2 1
Cartesian
0.000 0.000 0.000
0.000 0.000 4.642
0.000 1.970 1.969
1.805 0.000 2.528
```


[7]
The following is a PBE-GGA calculation of crystalline TaSb2Ir at its relaxed geometry, from Alexandria.

- Uncorrected formation energy: 0.162 eV/atom
- Space-group type: P2/m, No. 10
- Size of the total moment: 0.00 μB per atom

The structure in POSCAR format:
```
TaSb2Ir
1.0
4.781 0.000 0.000
0.000 3.163 0.000
-2.283 0.000 5.121
Ta Sb Ir
1 2 1
Cartesian
0.000 0.000 0.000
1.249 0.000 2.561
2.391 1.581 0.000
-1.142 1.581 2.561
```


[8]
The following is a PBE-GGA calculation of crystalline TaSb2Ir at its relaxed geometry, from Alexandria.

- Uncorrected formation energy: 0.047 eV/atom
- Space-group type: Pmm2, No. 25
- Size of the total moment: 0.00 μB per atom

The structure in POSCAR format:
```
TaSb2Ir
1.0
3.157 0.000 0.000
0.000 4.991 0.000
0.000 0.000 4.931
Ta Sb Ir
1 2 1
Cartesian
0.000 0.000 0.000
0.000 2.496 1.266
1.579 0.000 2.580
1.579 2.496 3.922
```


[9]
The following is a PBE-GGA calculation of crystalline TaSb2Ir at its relaxed geometry, from Alexandria.

- Uncorrected formation energy: 0.098 eV/atom
- Space-group type: P4/mmm, No. 123
- Size of the total moment: 0.00 μB per atom

The structure in POSCAR format:
```
TaSb2Ir
1.0
4.685 0.000 0.000
0.000 4.685 0.000
0.000 0.000 3.441
Ta Sb Ir
1 2 1
Cartesian
0.000 0.000 0.000
0.000 2.343 1.721
2.343 0.000 1.721
2.343 2.343 0.000
```


[10]
The following is a PBE-GGA calculation of crystalline TaSb2Ir at its relaxed geometry, from Alexandria.

- Uncorrected formation energy: 0.079 eV/atom
- Space-group type: Cm, No. 8
- Size of the total moment: 0.00 μB per atom

The structure in POSCAR format:
```
TaSb2Ir
1.0
5.221 -1.522 0.000
5.221 1.522 0.000
-2.360 0.000 5.140
Ta Sb Ir
1 2 1
Cartesian
0.000 0.000 0.000
0.449 0.000 4.415
3.278 0.000 2.570
6.111 0.000 2.064
```


[11]
The following is a PBE-GGA calculation of crystalline TaSb2Ir at its relaxed geometry, from Alexandria.

- Uncorrected formation energy: 0.273 eV/atom
- Space-group type: C2/m, No. 12
- Size of the total moment: 0.00 μB per atom

The structure in POSCAR format:
```
TaSb2Ir
1.0
4.495 -1.536 0.000
4.495 1.536 0.000
-1.198 0.000 5.624
Ta Sb Ir
1 2 1
Cartesian
0.000 0.000 0.000
1.293 0.000 4.202
6.498 0.000 1.422
3.895 0.000 2.812
```


[12]
The following is a PBE-GGA calculation of crystalline Ta4SbIr at its relaxed geometry, from Alexandria.

- Uncorrected formation energy: 0.379 eV/atom
- Space-group type: F-43m, No. 216
- Size of the total moment: 0.00 μB per atom

The structure in POSCAR format:
```
Ta4SbIr
1.0
0.000 3.846 3.846
3.846 0.000 3.846
3.846 3.846 0.000
Ta Sb Ir
4 1 1
Cartesian
2.889 2.889 2.889
4.802 4.802 2.889
4.802 2.889 4.802
2.889 4.802 4.802
5.768 5.768 5.768
0.000 0.000 0.000
```